1.
# LiEuAlIn

A relaxed structure of LiEuAlIn (PBE, Alexandria via LeMat-Bulk).

The value obtained for the formation energy is -250 meV per atom. For the total DFT energy (no corrections), the calculation gives -4.92 eV/atom.

Cell lengths 7.080, 7.080, 7.080 Å; angles 90.00, 90.00, 90.00 degrees
Space group F-43m (No. 216)
Asymmetric unit:
Li: 0.000 0.000 0.000 x4
Eu: 0.250 0.250 0.250 x4
Al: 0.000 0.000 0.500 x4
In: 0.250 0.250 0.750 x4


2.
# EuLuAlIn

A relaxed structure of EuLuAlIn (PBE, Alexandria via LeMat-Bulk).

The value obtained for the formation energy is -326 meV per atom. For the total DFT energy (no corrections), the calculation gives -5.65 eV/atom.

Cell lengths 7.469, 7.469, 7.469 Å; angles 90.00, 90.00, 90.00 degrees
Space group F-43m (No. 216)
Asymmetric unit:
Eu: 0.000 0.000 0.000 x4
Lu: 0.000 0.000 0.500 x4
Al: 0.250 0.250 0.750 x4
In: 0.250 0.250 0.250 x4


3.
# NaEuAlIn

A relaxed structure of NaEuAlIn (PBE, Alexandria via LeMat-Bulk).

The value obtained for the formation energy is -117 meV per atom. For the total DFT energy (no corrections), the calculation gives -4.64 eV/atom.

Cell lengths 7.389, 7.389, 7.389 Å; angles 90.00, 90.00, 90.00 degrees
Space group F-43m (No. 216)
Asymmetric unit:
Na: 0.000 0.000 0.000 x4
Eu: 0.250 0.250 0.250 x4
Al: 0.000 0.000 0.500 x4
In: 0.250 0.250 0.750 x4


4.
# NdEuAlIn

A relaxed structure of NdEuAlIn (PBE, Alexandria via LeMat-Bulk).

The value obtained for the formation energy is -347 meV per atom. For the total DFT energy (no corrections), the calculation gives -5.73 eV/atom.

Cell lengths 7.672, 7.672, 7.672 Å; angles 90.00, 90.00, 90.00 degrees
Space group F-43m (No. 216)
Asymmetric unit:
Nd: 0.000 0.000 0.000 x4
Eu: 0.000 0.000 0.500 x4
Al: 0.250 0.250 0.250 x4
In: 0.250 0.250 0.750 x4


5.
# EuPuAlIn

A relaxed structure of EuPuAlIn (PBE, Alexandria via LeMat-Bulk).

The value obtained for the formation energy is -147 meV per atom. For the total DFT energy (no corrections), the calculation gives -7.92 eV/atom.

Cell lengths 7.564, 7.564, 7.564 Å; angles 90.00, 90.00, 90.00 degrees
Space group F-43m (No. 216)
Asymmetric unit:
Eu: 0.000 0.000 0.000 x4
Pu: 0.000 0.000 0.500 x4
Al: 0.250 0.250 0.750 x4
In: 0.250 0.250 0.250 x4


6.
# EuScAlIn

A relaxed structure of EuScAlIn (PBE, Alexandria via LeMat-Bulk).

The value obtained for the formation energy is -313 meV per atom. For the total DFT energy (no corrections), the calculation gives -6.08 eV/atom.

Cell lengths 7.321, 7.321, 7.321 Å; angles 90.00, 90.00, 90.00 degrees
Space group F-43m (No. 216)
Asymmetric unit:
Eu: 0.000 0.000 0.000 x4
Sc: 0.000 0.000 0.500 x4
Al: 0.250 0.250 0.250 x4
In: 0.250 0.250 0.750 x4